1.
Material: Li2CuSn
Method: DFT, GGA-PBEsol
State: relaxed

Computed properties:
ΔH_f (0 K): -0.340 eV/atom
Electronic total energy: -13.89 eV per cell
N(E_F): 0.9 states/eV/cell

```
data_Li2CuSn
_space_group_name_H-M_alt 'P 1'
_space_group_IT_number 1
_space_group_name_Hall 'P 1'
_cell_length_a 4.386
_cell_length_b 4.386
_cell_length_c 4.386
_cell_angle_alpha 60.00
_cell_angle_beta 60.00
_cell_angle_gamma 60.00
loop_
_atom_site_label
_atom_site_fract_x
_atom_site_fract_y
_atom_site_fract_z
Sn1 0.000 0.000 0.000
Cu1 0.250 0.250 0.250
Li1 0.500 0.500 0.500
Li2 0.750 0.750 0.750
```

---

2.
Material: BeAsI3
Method: DFT, GGA-PBEsol
State: relaxed

Computed properties:
Electronic total energy: -11.22 eV per cell
N(E_F): 2.5 states/eV/cell
Uncorrected formation energy: 3.2 eV per formula unit

```
data_BeAsI3
_space_group_name_H-M_alt 'P 1'
_space_group_IT_number 1
_space_group_name_Hall 'P 1'
_cell_length_a 5.595
_cell_length_b 5.595
_cell_length_c 5.595
_cell_angle_alpha 90.00
_cell_angle_beta 90.00
_cell_angle_gamma 90.00
loop_
_atom_site_label
_atom_site_fract_x
_atom_site_fract_y
_atom_site_fract_z
I1 0.000 0.500 0.000
I2 0.000 0.000 0.500
I3 0.500 0.000 0.000
Be1 0.500 0.500 0.500
As1 0.000 0.000 0.000
```